Compound: LiGaCoAs
Source: OQMD
Functional: GGA-PBE
Structure: optimized geometry

Results
* energy relative to the lowest polymorph listed for this composition: 0.0 meV/atom
* final energy: -4.39 eV/atom

```
LiGaCoAs
1.0
0.000 2.972 2.972
2.972 0.000 2.972
2.972 2.972 0.000
Li Ga Co As
1 1 1 1
Cartesian
0.000 0.000 0.000
4.458 4.458 4.458
2.972 2.972 2.972
1.486 1.486 1.486
```